No. 1
## Ba12Na3F5 (PBE-GGA)

Data for crystalline Ba12Na3F5 at its relaxed geometry.

a b c (Å): 18.9853 18.9853 18.9853
angles (deg): 90.00 90.00 90.00
Space group Ia-3d (No. 230)
Symmetry-distinct sites (fractional):
Ba: 0.0413 0.0498 0.6492 x96
Na: 0.0000 0.2500 0.1250 x24
F: 0.0000 0.0000 0.0000 x16
F: 0.0000 0.2500 0.3750 x24

Properties
Volume in Å³ per atom: 42.770
Crystal system: cubic
Electronic total energy in eV/atom: -3.11
Total moment in Bohr magnetons per cell: 39.53

No. 2
## Ba5Na2F12 (PBE-GGA)

Data for crystalline Ba5Na2F12 at its relaxed geometry.

a b c (Å): 14.2055 6.7553 8.5145
angles (deg): 90.00 107.40 90.00
Space group C2/m (No. 12)
Symmetry-distinct sites (fractional):
Ba: 0.0000 0.0000 0.0000 x2
Ba: 0.1819 0.5000 0.8429 x4
Ba: 0.1890 0.5000 0.3447 x4
Na: 0.0000 0.2273 0.5000 x4
F: 0.0023 0.5000 0.3104 x4
F: 0.0027 0.0000 0.7043 x4
F: 0.1574 0.2494 0.0755 x8
F: 0.1730 0.2721 0.5905 x8

Properties
Volume in Å³ per atom: 20.519
Crystal system: monoclinic
Electronic total energy in eV/atom: -5.39
Total moment in Bohr magnetons per cell: 0.40

No. 3
## BaNaF4 (PBE-GGA)

Data for crystalline BaNaF4 at its relaxed geometry.

a b c (Å): 14.9376 6.5341 4.1001
angles (deg): 90.00 97.33 90.00
Space group C2/m (No. 12)
Symmetry-distinct sites (fractional):
Ba: 0.1621 0.0000 0.1899 x4
Na: 0.0815 0.5000 0.2920 x4
F: 0.0000 0.2434 0.0000 x4
F: 0.1126 0.2532 0.6808 x8
F: 0.2263 0.5000 0.2558 x4

Properties
Volume in Å³ per atom: 16.538
Crystal system: monoclinic
Electronic total energy in eV/atom: -4.54
Total moment in Bohr magnetons per cell: 4.35

No. 4
## Ba4Na3Nd3P6O24F2 (PBE-GGA)

Data for crystalline Ba4Na3Nd3P6O24F2 at its relaxed geometry.

a b c (Å): 9.8470 9.8833 14.5752
angles (deg): 89.86 89.49 60.48
Space group P1 (No. 1)
Symmetry-distinct sites (fractional):
Ba: 0.0000 0.0000 0.0000 x1
Ba: 0.0064 0.0127 0.5056 x1
Ba: 0.2195 0.5100 0.0124 x1
Ba: 0.2270 0.7532 0.2500 x1
Ba: 0.2460 0.7512 0.7457 x1
Ba: 0.7287 0.0444 0.2327 x1
Ba: 0.7516 0.7892 0.5020 x1
Ba: 0.7591 0.0147 0.7472 x1
Na: 0.3181 0.0975 0.1113 x1
Na: 0.3200 0.1137 0.6115 x1
Na: 0.6518 0.4564 0.1345 x1
Na: 0.6529 0.4395 0.6368 x1
Na: 0.9696 0.4901 0.2340 x1
Na: 0.9937 0.5029 0.7201 x1
Nd: 0.2189 0.5402 0.5084 x1
Nd: 0.3081 0.1174 0.8581 x1
Nd: 0.3177 0.1012 0.3587 x1
Nd: 0.6475 0.4445 0.8846 x1
Nd: 0.6597 0.4372 0.3828 x1
Nd: 0.7565 0.7693 0.0027 x1
P: 0.0105 0.1495 0.2493 x1
P: 0.0118 0.1577 0.7531 x1
P: 0.3512 0.3738 0.2654 x1
P: 0.3618 0.3672 0.7470 x1
P: 0.3949 0.7480 0.9964 x1
P: 0.4068 0.7332 0.4915 x1
P: 0.5789 0.8004 0.2459 x1
P: 0.5795 0.7992 0.7599 x1
P: 0.5873 0.1892 0.9902 x1
P: 0.5983 0.1845 0.4933 x1
P: 0.9431 0.4026 0.9904 x1
P: 0.9674 0.3848 0.4845 x1
O: 0.0141 0.0329 0.1764 x1
O: 0.0224 0.0371 0.6814 x1
O: 0.0833 0.0506 0.3378 x1
O: 0.0890 0.0597 0.8417 x1
O: 0.1124 0.2332 0.7276 x1
O: 0.1148 0.2209 0.2252 x1
O: 0.1178 0.2837 0.9773 x1
O: 0.1309 0.2370 0.4773 x1
O: 0.2218 0.4863 0.2000 x1
O: 0.2512 0.4080 0.8318 x1
O: 0.2587 0.4531 0.6626 x1
O: 0.2778 0.3861 0.3631 x1
O: 0.3068 0.7258 0.0778 x1
O: 0.3093 0.7137 0.5698 x1
O: 0.3322 0.9240 0.9805 x1
O: 0.3483 0.9074 0.4763 x1
O: 0.3657 0.6664 0.9124 x1
O: 0.3790 0.6518 0.4073 x1
O: 0.3972 0.8986 0.2380 x1
O: 0.4049 0.9124 0.7344 x1
O: 0.4184 0.2003 0.2354 x1
O: 0.4405 0.1718 0.9781 x1
O: 0.4426 0.1874 0.7348 x1
O: 0.4821 0.4241 0.7589 x1
O: 0.4852 0.1193 0.4798 x1
O: 0.4861 0.4129 0.2670 x1
O: 0.5100 0.3634 0.5123 x1
O: 0.5377 0.3521 0.0312 x1
O: 0.5760 0.6587 0.0091 x1
O: 0.5842 0.6404 0.5098 x1
O: 0.6006 0.6337 0.7687 x1
O: 0.6045 0.8669 0.8523 x1
O: 0.6196 0.8737 0.3294 x1
O: 0.6321 0.6261 0.2602 x1
O: 0.6564 0.8251 0.1587 x1
O: 0.6738 0.1813 0.8987 x1
O: 0.6951 0.7968 0.6866 x1
O: 0.7022 0.1618 0.4059 x1
O: 0.7038 0.0503 0.0499 x1
O: 0.7123 0.0899 0.5710 x1
O: 0.8358 0.2743 0.2619 x1
O: 0.8375 0.2794 0.7680 x1
O: 0.8460 0.3196 0.0076 x1
O: 0.8488 0.3346 0.5199 x1
O: 0.8678 0.5129 0.9058 x1
O: 0.8984 0.4704 0.3923 x1
O: 0.9239 0.5157 0.0704 x1
O: 0.9871 0.5003 0.5486 x1
F: 0.0135 0.7586 0.6034 x1
F: 0.0350 0.7480 0.4123 x1
F: 0.9345 0.8050 0.8964 x1
F: 0.9669 0.7717 0.0861 x1

Properties
Volume in Å³ per atom: 14.693
Crystal system: triclinic
Electronic total energy in eV/atom: -7.18
Total moment in Bohr magnetons per cell: 0.00